# BeSnOs (PBE, relaxed)
data_BeSnOs
_chemical_formula_sum 'Be4 Sn4 Os4'
_cell_length_a 6.641
_cell_length_b 5.937
_cell_length_c 5.073
_cell_angle_alpha 90.00
_cell_angle_beta 98.20
_cell_angle_gamma 90.00
_space_group_name_H-M_alt 'C 1 2 1'
_space_group_IT_number 5
loop_
_space_group_symop_operation_xyz
'x,y,z'
'-x,y,-z'
'x+1/2,y+1/2,z'
'-x+1/2,y+1/2,-z'
loop_
_atom_site_label
_atom_site_type_symbol
_atom_site_fract_x
_atom_site_fract_y
_atom_site_fract_z
Be1 Be 0.000 0.000 0.000
Be2 Be 0.000 0.354 0.000
Sn1 Sn 0.225 0.560 0.392
Os1 Os 0.185 0.689 0.878
# - total magnetization (μB per formula unit) = 0.000
# - V (Å³/atom) = 16.496
# - calculated total energy (eV for the cell shown) = -73.9
# - N(E_F) (states/eV/cell) = 3.44

# Y2OsRuO (PBE, relaxed)
data_Y2OsRuO
_chemical_formula_sum 'Y2 Os1 Ru1 O1'
_cell_length_a 5.415
_cell_length_b 5.415
_cell_length_c 4.486
_cell_angle_alpha 90.00
_cell_angle_beta 90.00
_cell_angle_gamma 90.00
_space_group_name_H-M_alt 'P 4/m m m'
_space_group_IT_number 123
_space_group_name_Hall '-P 4 2'
loop_
_atom_site_label
_atom_site_type_symbol
_atom_site_fract_x
_atom_site_fract_y
_atom_site_fract_z
Y1 Y 0.000 0.500 0.000
Os1 Os 0.000 0.000 0.000
Ru1 Ru 0.000 0.000 0.500
O1 O 0.500 0.500 0.500
# - total magnetization (μB per formula unit) = 1.033
# - formation energy without anion corrections (eV/atom) = 0.493
# - V (Å³/atom) = 26.305
# - N(E_F) (states/eV/cell) = 4.49

# YAs2Se (PBE, relaxed)
data_YAs2Se
_chemical_formula_sum 'Y2 As4 Se2'
_cell_length_a 4.025
_cell_length_b 4.025
_cell_length_c 10.616
_cell_angle_alpha 90.00
_cell_angle_beta 90.00
_cell_angle_gamma 90.00
_space_group_name_H-M_alt 'I 4/m m m'
_space_group_IT_number 139
_space_group_name_Hall '-I 4 2'
loop_
_atom_site_label
_atom_site_type_symbol
_atom_site_fract_x
_atom_site_fract_y
_atom_site_fract_z
Y1 Y 0.000 0.000 0.000
As1 As 0.000 0.500 0.250
Se1 Se 0.000 0.000 0.500
# - total magnetization (μB per formula unit) = 0.000
# - formation energy without anion corrections (eV/atom) = -0.700
# - V (Å³/atom) = 21.498
# - N(E_F) (states/eV/cell) = 4.73

# Mo2IrAu (PBE, relaxed)
data_Mo2IrAu
_chemical_formula_sum 'Mo4 Ir2 Au2'
_cell_length_a 9.325
_cell_length_b 2.793
_cell_length_c 4.956
_cell_angle_alpha 90.00
_cell_angle_beta 99.78
_cell_angle_gamma 90.00
_space_group_name_H-M_alt 'C 1 m 1'
_space_group_IT_number 8
loop_
_space_group_symop_operation_xyz
'x,y,z'
'x,-y,z'
'x+1/2,y+1/2,z'
'x+1/2,-y+1/2,z'
loop_
_atom_site_label
_atom_site_type_symbol
_atom_site_fract_x
_atom_site_fract_y
_atom_site_fract_z
Mo1 Mo 0.000 0.000 0.000
Mo2 Mo 0.249 0.500 0.265
Ir1 Ir 0.261 0.000 0.794
Au1 Au 0.003 0.500 0.511
# - total magnetization (μB per formula unit) = 0.000
# - V (Å³/atom) = 15.897
# - calculated total energy (eV for the cell shown) = -66.9
# - N(E_F) (states/eV/cell) = 6.79

# Rb2ScHBr6 (PBE, relaxed)
data_Rb2ScHBr6
_chemical_formula_sum 'Rb4 Sc2 H2 Br12'
_cell_length_a 7.168
_cell_length_b 7.168
_cell_length_c 11.901
_cell_angle_alpha 90.00
_cell_angle_beta 90.00
_cell_angle_gamma 90.00
_space_group_name_H-M_alt 'I 4/m m m'
_space_group_IT_number 139
_space_group_name_Hall '-I 4 2'
loop_
_atom_site_label
_atom_site_type_symbol
_atom_site_fract_x
_atom_site_fract_y
_atom_site_fract_z
Rb1 Rb 0.000 0.500 0.250
Sc1 Sc 0.000 0.000 0.000
H1 H 0.000 0.000 0.500
Br1 Br 0.000 0.000 0.222
Br2 Br 0.235 0.235 0.500
# - total magnetization (μB per formula unit) = 0.000
# - V (Å³/atom) = 30.578
# - calculated total energy (eV for the cell shown) = -67.3
# - N(E_F) (states/eV/cell) = 0.00

# YH8Rh2 (PBE, relaxed)
data_YH8Rh2
_chemical_formula_sum 'Y2 H16 Rh4'
_cell_length_a 5.534
_cell_length_b 9.620
_cell_length_c 3.671
_cell_angle_alpha 90.00
_cell_angle_beta 90.00
_cell_angle_gamma 90.00
_space_group_name_H-M_alt 'C m m m'
_space_group_IT_number 65
_space_group_name_Hall '-C 2 2'
loop_
_atom_site_label
_atom_site_type_symbol
_atom_site_fract_x
_atom_site_fract_y
_atom_site_fract_z
Y1 Y 0.000 0.000 0.000
H1 H 0.000 0.236 0.000
H2 H 0.000 0.500 0.105
H3 H 0.240 0.368 0.500
Rh1 Rh 0.000 0.229 0.500
# - total magnetization (μB per formula unit) = 0.000
# - V (Å³/atom) = 8.884
# - calculated total energy (eV for the cell shown) = -100.7
# - N(E_F) (states/eV/cell) = 7.04